Record 1
## ScTiAg (GGA-PBE)

Data for a relaxed structure of ScTiAg.

Unit cell a=6.5190 b=6.5190 c=4.3877 alpha=90.00 beta=90.00 gamma=141.39
Closest atoms and distances in Å follow each position.
Positions (direct):
Sc: 0.1622 0.8378 0.0000  4 Ag 2.94-2.97, 6 Ti 2.98-3.08, 2 Sc 3.05
Sc: 0.8378 0.1622 0.0000  4 Ag 2.94-2.97, 6 Ti 2.98-3.08, 2 Sc 3.05
Ti: 0.3258 0.6742 0.5000  2 Ti 2.85, 6 Sc 2.98-3.08, 4 Ag 3.04-3.07
Ti: 0.6742 0.3258 0.5000  2 Ti 2.85, 6 Sc 2.98-3.08, 4 Ag 3.04-3.07
Ag: 0.0000 0.0000 0.5000  4 Sc 2.97, 4 Ti 3.04, 4 Ag 3.08
Ag: 0.5000 0.5000 0.0000  4 Sc 2.94, 4 Ti 3.07, 4 Ag 3.08

Calculated values
* crystal system: orthorhombic
* formation enthalpy at 0 K: -0.04 eV/atom

Record 2
## ScTiAg (GGA-PBE)

Data for a relaxed structure of ScTiAg.

Unit cell a=6.2024 b=3.0686 c=12.1980 alpha=90.00 beta=90.00 gamma=90.00
Closest atoms and distances in Å follow each position.
Positions (direct):
Sc: 0.1343 0.2500 0.0861  4 Ag 2.95-2.97, 4 Ti 2.97-3.23, 4 Sc 3.07-3.09
Sc: 0.3657 0.7500 0.5861  4 Ag 2.95-2.97, 4 Ti 2.97-3.23, 4 Sc 3.07-3.09
Sc: 0.6343 0.2500 0.4139  4 Ag 2.95-2.97, 4 Ti 2.97-3.23, 4 Sc 3.07-3.09
Sc: 0.8657 0.7500 0.9139  4 Ag 2.95-2.97, 4 Ti 2.97-3.23, 4 Sc 3.07-3.09
Ti: 0.1133 0.2500 0.4211  4 Ti 2.83-3.07, 3 Sc 2.97-2.98, 4 Ag 2.99-3.05
Ti: 0.3867 0.7500 0.9211  4 Ti 2.83-3.07, 3 Sc 2.97-2.98, 4 Ag 2.99-3.05
Ti: 0.6133 0.2500 0.0789  4 Ti 2.83-3.07, 3 Sc 2.97-2.98, 4 Ag 2.99-3.05
Ti: 0.8867 0.7500 0.5789  4 Ti 2.83-3.07, 3 Sc 2.97-2.98, 4 Ag 2.99-3.05
Ag: 0.1291 0.2500 0.7562  4 Sc 2.95-2.97, 4 Ti 2.99-3.05, 4 Ag 3.07-3.10
Ag: 0.3709 0.7500 0.2562  4 Sc 2.95-2.97, 4 Ti 2.99-3.05, 4 Ag 3.07-3.10
Ag: 0.6291 0.2500 0.7438  4 Sc 2.95-2.97, 4 Ti 2.99-3.05, 4 Ag 3.07-3.10
Ag: 0.8709 0.7500 0.2438  4 Sc 2.95-2.97, 4 Ti 2.99-3.05, 4 Ag 3.07-3.10

Calculated values
* crystal system: orthorhombic
* formation enthalpy at 0 K: -0.04 eV/atom

Record 3
## Sc5TiAg4 (GGA-PBE)

Data for a relaxed structure of Sc5TiAg4.

Unit cell a=3.3512 b=3.3512 c=18.0948 alpha=90.00 beta=90.00 gamma=90.00
Closest atoms and distances in Å follow each position.
Positions (direct):
Sc: 0.0000 0.0000 0.0000  8 Ag 2.95
Sc: 0.0000 0.0000 0.1959  8 Ag 2.97
Sc: 0.0000 0.0000 0.3949  4 Ag 2.98, 4 Ti 3.04
Sc: 0.0000 0.0000 0.6051  4 Ag 2.98, 4 Ti 3.04
Sc: 0.0000 0.0000 0.8041  8 Ag 2.97
Ti: 0.5000 0.5000 0.5000  8 Sc 3.04, 4 Ti 3.35
Ag: 0.5000 0.5000 0.0974  8 Sc 2.95-2.97
Ag: 0.5000 0.5000 0.2950  8 Sc 2.97-2.98
Ag: 0.5000 0.5000 0.7050  8 Sc 2.97-2.98
Ag: 0.5000 0.5000 0.9026  8 Sc 2.95-2.97

Calculated values
* crystal system: tetragonal
* formation enthalpy at 0 K: -0.18 eV/atom

Record 4
## ScTiAg2 (GGA-PBE)

Data for a relaxed structure of ScTiAg2.

Unit cell a=4.7561 b=4.7561 c=4.7561 alpha=60.00 beta=60.00 gamma=60.00
Closest atoms and distances in Å follow each position.
Positions (direct):
Sc: 0.0000 0.0000 0.0000  8 Ag 2.91
Ti: 0.5000 0.5000 0.5000  8 Ag 2.91
Ag: 0.2500 0.2500 0.2500  4 Sc 2.91, 4 Ti 2.91
Ag: 0.7500 0.7500 0.7500  4 Sc 2.91, 4 Ti 2.91

Calculated values
* crystal system: cubic
* formation enthalpy at 0 K: -0.03 eV/atom

Record 5
## ScTiAg (GGA-PBE)

Data for a relaxed structure of ScTiAg.

Unit cell a=6.4686 b=6.4686 c=4.3430 alpha=90.00 beta=90.00 gamma=140.14
Closest atoms and distances in Å follow each position.
Positions (direct):
Sc: 0.0887 0.9113 0.7500  4 Ag 2.93-2.95, 6 Ti 2.97-3.10, 2 Sc 3.06
Sc: 0.9113 0.0887 0.2500  4 Ag 2.93-2.95, 6 Ti 2.97-3.10, 2 Sc 3.06
Ti: 0.4247 0.5753 0.7500  2 Ti 2.84, 6 Sc 2.97-3.10, 4 Ag 3.03-3.07
Ti: 0.5753 0.4247 0.2500  2 Ti 2.84, 6 Sc 2.97-3.10, 4 Ag 3.03-3.07
Ag: 0.2504 0.7496 0.2500  4 Sc 2.93-2.95, 4 Ti 3.03-3.07, 4 Ag 3.09
Ag: 0.7496 0.2504 0.7500  4 Sc 2.93-2.95, 4 Ti 3.03-3.07, 4 Ag 3.09

Calculated values
* crystal system: orthorhombic
* formation enthalpy at 0 K: -0.04 eV/atom

Record 6
## ScTiAg (GGA-PBE)

Data for a relaxed structure of ScTiAg.

Unit cell a=4.8284 b=4.8284 c=6.1008 alpha=97.24 beta=97.24 gamma=55.35
Closest atoms and distances in Å follow each position.
Positions (direct):
Sc: 0.0192 0.0192 0.2431  5 Ag 2.82-3.09, 1 Sc 2.94, 5 Ti 3.02-3.09
Sc: 0.9808 0.9808 0.7569  5 Ag 2.82-3.09, 1 Sc 2.94, 5 Ti 3.02-3.09
Ti: 0.3273 0.3273 0.9788  3 Ti 2.63-2.93, 1 Ag 2.81
Ti: 0.6727 0.6727 0.0212  3 Ti 2.63-2.93, 1 Ag 2.81
Ag: 0.3378 0.3378 0.4409  3 Ag 2.77-2.85, 1 Ti 2.81, 5 Sc 2.82-3.09
Ag: 0.6622 0.6622 0.5591  3 Ag 2.77-2.85, 1 Ti 2.81, 5 Sc 2.82-3.09

Calculated values
* crystal system: monoclinic
* formation enthalpy at 0 K: -0.02 eV/atom

Density of states at the Fermi level in states/eV per cell, matching the order above: 7.3 12.5 9.6 3.8 9.3 2.6